Ac2Ga3Ag: optimized geometry, GGA-PBE.

Structure (CIF):
```
data_Ac2Ga3Ag
_chemical_formula_sum 'Ac4 Ga6 Ag2'
_space_group_name_H-M_alt 'P 1'
_space_group_IT_number 1
_cell_length_a 9.127
_cell_length_b 9.049
_cell_length_c 6.364
_cell_angle_alpha 70.17
_cell_angle_beta 68.84
_cell_angle_gamma 40.99
loop_
_space_group_symop_operation_xyz
'x,y,z'
loop_
_atom_site_label
_atom_site_type_symbol
_atom_site_fract_x
_atom_site_fract_y
_atom_site_fract_z
Ac1 Ac 0.239 0.761 0.761
Ac2 Ac 0.250 0.250 0.250
Ac3 Ac 0.750 0.750 0.750
Ac4 Ac 0.761 0.239 0.239
Ga1 Ga 0.177 0.660 0.340
Ga2 Ga 0.338 0.338 0.662
Ga3 Ga 0.340 0.823 0.177
Ga4 Ga 0.660 0.177 0.823
Ga5 Ga 0.662 0.662 0.338
Ga6 Ga 0.823 0.340 0.660
Ag1 Ag 0.168 0.168 0.832
Ag2 Ag 0.832 0.832 0.168
```

Summary:
Magnetization = 0.000 μB/atom
D(E_F) = 9.28 states/eV/cell
Theoretical density = 8.012 g/cm³
Formation enthalpy at 0 K = -51.42 kJ/mol of atoms
Final energy = -46.69 eV per cell